Compound: ScCu2Au2
Source: Alexandria
Functional: PBE-GGA
Structure: optimized geometry

Summary:
**Density**: 11.41 g cm⁻³
**Formation energy from the elements**: -0.29 eV/atom
**Energy relative to the lowest polymorph listed for this composition**: 19 meV per atom
**Total DFT energy (no corrections)**: -4.506 eV per atom

abc: 6.9728 6.9728 3.3877
angles: 90.00 90.00 90.00
Last column: nearest neighbours and their distance in Å.
Space group P4/mbm (No. 127)
Symmetry-distinct sites (fractional):
Sc: 0.0000 0.0000 0.0000 x2  4 Cu 2.77, 8 Au 3.08
Cu: 0.1226 0.3774 0.0000 x4  1 Cu 2.42, 2 Au 2.61
Au: 0.1761 0.6761 0.5000 x4  6 Cu 2.61-2.71

=====

Compound: AcLaNdAg
Source: Alexandria
Functional: PBE-GGA
Structure: optimized geometry

Summary:
**Density**: 7.76 g cm⁻³
**Formation energy from the elements**: 0.13 eV/atom
**Energy relative to the lowest polymorph listed for this composition**: 243 meV per atom
**Total DFT energy (no corrections)**: -4.030 eV per atom

abc: 8.0872 8.0872 8.0872
angles: 90.00 90.00 90.00
Last column: nearest neighbours and their distance in Å.
Space group F-43m (No. 216)
Symmetry-distinct sites (fractional):
Ac: 0.0000 0.0000 0.0000 x4  4 La 3.50, 4 Nd 3.50
La: 0.2500 0.2500 0.2500 x4  4 Ac 3.50, 4 Ag 3.50
Nd: 0.2500 0.2500 0.7500 x4  4 Ac 3.50, 4 Ag 3.50
Ag: 0.0000 0.0000 0.5000 x4  4 Nd 3.50, 4 La 3.50

=====

Compound: Sn2PdIO
Source: Alexandria
Functional: PBE-GGA
Structure: optimized geometry

Summary:
**Density**: 7.06 g cm⁻³
**E_form (uncorrected)**: -59 kJ/mol of formula units
**Total DFT energy (no corrections)**: -4.064 eV per atom

abc: 5.1683 5.1683 4.2869
angles: 90.00 90.00 90.00
Last column: nearest neighbours and their distance in Å.
Space group P4/mmm (No. 123)
Symmetry-distinct sites (fractional):
Sn: 0.0000 0.5000 0.0000 x2  2 O 2.58
Pd: 0.0000 0.0000 0.5000 x1  2 O 2.14
I: 0.5000 0.5000 0.5000 x1  8 Sn 3.36, 4 Pd 3.65
O: 0.0000 0.0000 0.0000 x1  2 Pd 2.14

=====

Compound: BaNaP3H3N3O6
Source: Alexandria
Functional: PBE-GGA
Structure: optimized geometry

Summary:
**Density**: 3.14 g cm⁻³
**Total DFT energy (no corrections)**: -6.608 eV per atom

abc: 11.0068 10.4556 8.0583
angles: 90.00 115.98 90.00
Last column: nearest neighbours and their distance in Å.
Space group C2/m (No. 12)
Symmetry-distinct sites (fractional):
Ba: 0.0674 0.0000 0.3041 x4  8 O 2.70-3.02
Na: 0.0000 0.3212 0.5000 x4  4 O 2.34-2.45
P: 0.1985 0.5000 0.9175 x4  2 O 1.52, 2 N 1.69
P: 0.2060 0.3583 0.2417 x8  2 O 1.51-1.52, 1 N 1.68
H: 0.0671 0.5000 0.2940 x4  1 N 1.04
H: 0.0787 0.3195 0.9280 x8  1 N 1.03
N: 0.1609 0.3722 0.0140 x8  1 H 1.03
N: 0.1661 0.5000 0.3108 x4  1 H 1.04
O: 0.1043 0.5000 0.7119 x4  1 P 1.52
O: 0.1170 0.2576 0.2673 x8  1 P 1.51
O: 0.1410 0.1500 0.6555 x8  1 P 1.52
O: 0.1510 0.0000 0.0282 x4  1 P 1.52

=====

Compound: KNaP2Cl
Source: Alexandria
Functional: PBE-GGA
Structure: optimized geometry

Summary:
**Density**: 1.21 g cm⁻³
**E_form (uncorrected)**: 279 kJ/mol of formula units
**Energy relative to the lowest polymorph listed for this composition**: 311 meV per atom
**Total DFT energy (no corrections)**: -2.439 eV per atom

abc: 6.1760 6.1760 5.7598
angles: 90.00 90.00 90.00
Last column: nearest neighbours and their distance in Å.
Space group P4/mmm (No. 123)
Symmetry-distinct sites (fractional):
K: 0.0000 0.0000 0.0000 x1  2 Cl 2.88, 4 P 3.09
Na: 0.5000 0.5000 0.5000 x1  8 P 4.22, 4 Cl 4.37
P: 0.0000 0.5000 0.0000 x2  2 K 3.09
Cl: 0.0000 0.0000 0.5000 x1  2 K 2.88

=====

Compound: Dy3Al5Au6
Source: Alexandria
Functional: PBE-GGA
Structure: optimized geometry

Summary:
**Density**: 10.92 g cm⁻³
**Formation energy from the elements**: -0.69 eV/atom
**Total DFT energy (no corrections)**: -4.420 eV per atom

abc: 4.4037 13.2275 9.4191
angles: 90.00 90.00 90.00
Last column: nearest neighbours and their distance in Å.
Space group Pmmn (No. 59, origin choice 2)
Symmetry-distinct sites (fractional):
Dy: 0.2500 0.0512 0.2476 x4  6 Au 3.05-3.26, 6 Al 3.14-3.39
Dy: 0.2500 0.7500 0.2648 x2  8 Au 3.14-3.46, 6 Al 3.24-3.36
Al: 0.2500 0.0818 0.6049 x4  5 Au 2.55-2.65
Al: 0.2500 0.6148 0.9785 x4  5 Au 2.62-2.90, 1 Al 2.86
Al: 0.2500 0.7500 0.7418 x2  6 Au 2.71-2.86, 2 Al 2.86
Au: 0.2500 0.0863 0.8754 x4  4 Al 2.55-2.83
Au: 0.2500 0.2500 0.0845 x2  6 Al 2.74-2.90, 2 Au 2.93, 2 Dy 3.05
Au: 0.2500 0.2500 0.4516 x2  4 Al 2.65-2.86, 4 Au 2.89
Au: 0.2500 0.6094 0.5330 x4  4 Al 2.58-2.71, 2 Au 2.89

=====

Compound: LaTbCuGe
Source: Alexandria
Functional: PBE-GGA
Structure: optimized geometry

Summary:
**Density**: 7.56 g cm⁻³
**Formation energy from the elements**: -0.47 eV/atom
**Total DFT energy (no corrections)**: -5.038 eV per atom

abc: 7.2509 7.2509 7.2509
angles: 90.00 90.00 90.00
Last column: nearest neighbours and their distance in Å.
Space group F-43m (No. 216)
Symmetry-distinct sites (fractional):
La: 0.0000 0.0000 0.0000 x4  4 Ge 3.14, 4 Cu 3.14
Tb: 0.0000 0.0000 0.5000 x4  4 Ge 3.14, 4 Cu 3.14
Cu: 0.2500 0.2500 0.7500 x4  4 La 3.14, 4 Tb 3.14
Ge: 0.2500 0.2500 0.2500 x4  4 Tb 3.14, 4 La 3.14

=====

Compound: Y2ScSe3
Source: Alexandria
Functional: PBE-GGA
Structure: optimized geometry

Summary:
**Density**: 5.53 g cm⁻³
**E_form (uncorrected)**: -981 kJ/mol of formula units
**Total DFT energy (no corrections)**: -6.646 eV per atom

abc: 4.0264 5.6882 12.0487
angles: 90.00 90.00 90.00
Last column: nearest neighbours and their distance in Å.
Space group Immm (No. 71)
Symmetry-distinct sites (fractional):
Y: 0.0000 0.0000 0.1717 x4  6 Se 2.85-2.89
Sc: 0.0000 0.0000 0.5000 x2  6 Se 2.76-2.84
Se: 0.0000 0.5000 0.1570 x4  2 Sc 2.76, 4 Y 2.85-2.88
Se: 0.0000 0.5000 0.5000 x2  2 Sc 2.84, 4 Y 2.89

=====

Compound: La2Co3As4Pt
Source: Alexandria
Functional: PBE-GGA
Structure: optimized geometry

Summary:
**Density**: 8.98 g cm⁻³
**Formation energy from the elements**: -0.83 eV/atom
**Total DFT energy (no corrections)**: -6.409 eV per atom

abc: 4.2618 4.2618 9.6699
angles: 90.00 90.00 90.00
Last column: nearest neighbours and their distance in Å.
Space group P-4m2 (No. 115)
Symmetry-distinct sites (fractional):
La: 0.0000 0.5000 0.2433 x2  8 As 3.17-3.20, 7 Co 3.27-3.41, 2 Pt 3.27
Co: 0.0000 0.5000 0.8907 x2  5 As 2.37-2.38
Co: 0.5000 0.5000 0.5000 x1  4 As 2.55
As: 0.0000 0.0000 0.0000 x1  4 Co 2.38
As: 0.0000 0.5000 0.6456 x2  3 Co 2.37-2.55, 2 Pt 2.55
As: 0.5000 0.5000 0.0000 x1  4 Co 2.38
Pt: 0.0000 0.0000 0.5000 x1  4 As 2.55

=====

Compound: Y3AlFeS7
Source: Alexandria
Functional: PBE-GGA
Structure: optimized geometry

Summary:
**Density**: 3.94 g cm⁻³
**E_form (uncorrected)**: -1798 kJ/mol of formula units
**Total DFT energy (no corrections)**: -6.594 eV per atom

abc: 9.4865 9.4865 6.2082
angles: 90.00 90.00 120.00
Last column: nearest neighbours and their distance in Å.
Space group P6_3 (No. 173)
Symmetry-distinct sites (fractional):
Y: 0.1591 0.7843 0.0000 x6  7 S 2.73-3.01
Al: 0.3333 0.6667 0.5728 x2  4 S 2.24
Fe: 0.0000 0.0000 0.1501 x2  6 S 2.34-2.38
S: 0.0868 0.5223 0.7246 x6  1 Al 2.24
S: 0.0951 0.8791 0.3957 x6  2 Fe 2.34-2.38
S: 0.3333 0.6667 0.2122 x2  1 Al 2.24

=====

Compound: VMo2HW
Source: Alexandria
Functional: PBE-GGA
Structure: optimized geometry

Summary:
**Density**: 11.16 g cm⁻³
**Total DFT energy (no corrections)**: -9.389 eV per atom

abc: 4.3865 4.3865 3.3062
angles: 90.00 90.00 90.00
Last column: nearest neighbours and their distance in Å.
Space group P4/mmm (No. 123)
Symmetry-distinct sites (fractional):
V: 0.0000 0.0000 0.0000 x1  2 H 1.65
Mo: 0.0000 0.5000 0.5000 x2  2 H 2.19
H: 0.0000 0.0000 0.5000 x1  2 V 1.65
W: 0.5000 0.5000 0.0000 x1  8 Mo 2.75

=====

Compound: K12Na7Au
Source: Alexandria
Functional: PBE-GGA
Structure: optimized geometry

Summary:
**Density**: 1.22 g cm⁻³
**Formation energy from the elements**: 0.00 eV/atom
**Total DFT energy (no corrections)**: -1.284 eV per atom

abc: 18.5388 18.5388 11.3225
angles: 90.00 90.00 120.00
Last column: nearest neighbours and their distance in Å.
Space group R-3 (No. 148, hexagonal axes)
Symmetry-distinct sites (fractional):
K: 0.0295 0.2463 0.0556 x18  3 Na 3.78-4.23
K: 0.0320 0.1509 0.6883 x18  1 Au 3.33
Na: 0.0000 0.0000 0.0000 x3  12 K 4.36
Na: 0.0440 0.4562 0.0882 x18  1 Na 3.45, 2 K 3.77-3.78
Au: 0.0000 0.0000 0.5000 x3  6 K 3.33